Density functional theory data (PBE with a Hubbard U) for an optimized crystal structure of CsCrTe2O8.

Unit cell a=5.3012 b=5.3012 c=9.4685 alpha=90.00 beta=90.00 gamma=120.00
With the nearest neighbours (Å) after each atom.
Fractional coordinates of all 12 atoms:
1 O 0.9819 0.6863 0.3742  1 Te 1.86, 1 Cr 2.01
2 O 0.6863 0.7044 0.6258  1 Te 1.86, 1 Cr 2.01
3 Te 0.3333 0.6667 0.6831  4 O 1.82-1.86
4 O 0.2956 0.9819 0.6258  1 Te 1.86, 1 Cr 2.01
5 Te 0.6667 0.3333 0.3169  4 O 1.82-1.86
6 O 0.7044 0.0181 0.3742  1 Te 1.86, 1 Cr 2.01
7 O 0.3137 0.2956 0.3742  1 Te 1.86, 1 Cr 2.01
8 O 0.0181 0.3137 0.6258  1 Te 1.86, 1 Cr 2.01
9 Cr 0.0000 0.0000 0.5000  6 O 2.01
10 O 0.6667 0.3333 0.1246  1 Te 1.82
11 O 0.3333 0.6667 0.8754  1 Te 1.82
12 Cs 0.0000 0.0000 0.0000  6 O 3.28

Space group: P-3, No. 147
Total energy, eV for the cell shown: -68.7
Calculated density, Mg/m³: 4.09
Total magnetic moment, μB/cell: 3.00